P:
Compound: PrBeTc
Source: OQMD
Functional: PBE-GGA
Structure: optimized geometry

Structure (POSCAR):
```
PrBeTc
1.0
0.000 3.200 3.200
3.200 0.000 3.200
3.200 3.200 0.000
Be Tc Pr
1 1 1
Direct
0.250 0.250 0.250
0.750 0.750 0.750
0.000 0.000 0.000
```

Q:
Compound: PrBeTc
Source: OQMD
Functional: PBE-GGA
Structure: optimized geometry

Structure (POSCAR):
```
PrBeTc
1.0
0.732 -4.019 -1.521
-3.007 -3.111 0.527
-2.240 -1.471 -3.438
Tc Be Pr
1 1 1
Direct
0.750 0.750 0.750
0.000 0.000 0.000
0.250 0.250 0.250
```

Most stable structure: Q

P:
Compound: PrBeTe
Source: OQMD
Functional: PBE-GGA
Structure: optimized geometry

Structure (POSCAR):
```
PrBeTe
1.0
3.100 -3.904 0.788
-1.848 -4.693 0.186
0.972 -3.246 -3.741
Te Pr Be
1 1 1
Direct
0.000 0.000 0.000
0.750 0.750 0.750
0.250 0.250 0.250
```

Q:
Compound: PrBeTe
Source: OQMD
Functional: PBE-GGA
Structure: optimized geometry

Structure (POSCAR):
```
PrBeTe
1.0
0.000 3.346 3.346
3.346 0.000 3.346
3.346 3.346 0.000
Te Be Pr
1 1 1
Direct
0.750 0.750 0.750
0.000 0.000 0.000
0.250 0.250 0.250
```

R:
Compound: PrBeTe
Source: OQMD
Functional: PBE-GGA
Structure: optimized geometry

Structure (POSCAR):
```
PrBeTe
1.0
0.000 3.600 3.600
3.600 0.000 3.600
3.600 3.600 0.000
Pr Be Te
1 1 1
Direct
0.000 0.000 0.000
0.250 0.250 0.250
0.750 0.750 0.750
```

Most stable structure: Q

P:
Compound: PrBeTl
Source: OQMD
Functional: PBE-GGA
Structure: optimized geometry

Structure (POSCAR):
```
PrBeTl
1.0
4.662 -0.114 0.384
1.987 -0.676 4.182
2.173 -4.038 0.932
Be Tl Pr
1 1 1
Direct
0.000 0.000 0.000
0.750 0.750 0.750
0.250 0.250 0.250
```

Q:
Compound: PrBeTl
Source: OQMD
Functional: PBE-GGA
Structure: optimized geometry

Structure (POSCAR):
```
PrBeTl
1.0
1.626 -4.131 2.266
-2.871 -4.072 0.118
1.238 -4.002 -2.702
Pr Be Tl
1 1 1
Direct
0.000 0.000 0.000
0.250 0.250 0.250
0.750 0.750 0.750
```

R:
Compound: PrBeTl
Source: OQMD
Functional: PBE-GGA
Structure: optimized geometry

Structure (POSCAR):
```
PrBeTl
1.0
0.000 3.440 3.440
3.440 0.000 3.440
3.440 3.440 0.000
Pr Tl Be
1 1 1
Direct
0.750 0.750 0.750
0.000 0.000 0.000
0.250 0.250 0.250
```

Most stable structure: P